Entry 1:
InOs2W after structural relaxation. Source: Alexandria via LeMat-Bulk, functional PBE.

Unit cell a=7.3697 b=7.3697 c=5.5002 alpha=90.00 beta=90.00 gamma=90.00
Space group I-42d (No. 122)
Unique sites:
In (0.0000, 0.0000, 0.0000) (multiplicity 4)
Os (0.2023, 0.2500, 0.6250) (multiplicity 8)
W (0.0000, 0.0000, 0.5000) (multiplicity 4)

Output
- Crystal system: tetragonal


Entry 2:
InOs2W after structural relaxation. Source: Alexandria via LeMat-Bulk, functional PBE.

Unit cell a=3.1654 b=4.4353 c=9.2157 alpha=90.00 beta=90.00 gamma=90.00
Space group Imm2 (No. 44)
Unique sites:
In (0.0000, 0.0000, 0.0000) (multiplicity 2)
Os (0.0000, 0.0000, 0.5105) (multiplicity 2)
Os (0.0000, 0.5000, 0.7472) (multiplicity 2)
W (0.0000, 0.5000, 0.2443) (multiplicity 2)

Output
- Crystal system: orthorhombic


Entry 3:
InOs2W after structural relaxation. Source: Alexandria via LeMat-Bulk, functional PBE.

Unit cell a=2.8091 b=2.8091 c=8.2674 alpha=90.00 beta=90.00 gamma=90.00
Space group P4mm (No. 99)
Unique sites:
In (0.0000, 0.0000, 0.0000) (multiplicity 1)
Os (0.0000, 0.0000, 0.4732) (multiplicity 1)
Os (0.5000, 0.5000, 0.2638) (multiplicity 1)
W (0.5000, 0.5000, 0.7221) (multiplicity 1)

Output
- Crystal system: tetragonal


Entry 4:
InOs2W after structural relaxation. Source: Alexandria via LeMat-Bulk, functional PBE.

Unit cell a=5.9430 b=7.3959 c=2.9350 alpha=90.00 beta=90.00 gamma=90.00
Space group Cmmm (No. 65)
Unique sites:
In (0.0000, 0.0000, 0.0000) (multiplicity 2)
Os (0.2500, 0.2500, 0.5000) (multiplicity 4)
W (0.0000, 0.5000, 0.0000) (multiplicity 2)

Output
- Crystal system: orthorhombic


Entry 5:
InOs2W2 after structural relaxation. Source: Alexandria via LeMat-Bulk, functional PBE.

Unit cell a=7.7836 b=7.7836 c=2.8591 alpha=90.00 beta=90.00 gamma=90.00
Space group P4/mbm (No. 127)
Unique sites:
In (0.0000, 0.0000, 0.0000) (multiplicity 2)
Os (0.1439, 0.3561, 0.5000) (multiplicity 4)
W (0.1427, 0.6427, 0.0000) (multiplicity 4)

Output
- Crystal system: tetragonal


Entry 6:
InOsW2 after structural relaxation. Source: Alexandria via LeMat-Bulk, functional PBE.

Unit cell a=3.9415 b=3.9415 c=4.2724 alpha=90.00 beta=90.00 gamma=90.00
Space group P4/mmm (No. 123)
Unique sites:
In (0.0000, 0.0000, 0.0000) (multiplicity 1)
Os (0.5000, 0.5000, 0.0000) (multiplicity 1)
W (0.0000, 0.5000, 0.5000) (multiplicity 2)

Output
- Crystal system: tetragonal


Entry 7:
InOs2W after structural relaxation. Source: Alexandria via LeMat-Bulk, functional PBE.

Unit cell a=2.8486 b=2.8486 c=27.7319 alpha=90.00 beta=90.00 gamma=120.00
Space group R3m (No. 160, hexagonal axes)
Unique sites:
In (0.0000, 0.0000, 0.0000) (multiplicity 3)
Os (0.0000, 0.0000, 0.4965) (multiplicity 3)
Os (0.0000, 0.0000, 0.7538) (multiplicity 3)
W (0.0000, 0.0000, 0.2426) (multiplicity 3)

Output
- Crystal system: trigonal


Entry 8:
InOsW2 after structural relaxation. Source: Alexandria via LeMat-Bulk, functional PBE.

Unit cell a=2.8876 b=2.8876 c=8.0936 alpha=90.00 beta=90.00 gamma=90.00
Space group P4mm (No. 99)
Unique sites:
In (0.0000, 0.0000, 0.0000) (multiplicity 1)
Os (0.5000, 0.5000, 0.2579) (multiplicity 1)
W (0.0000, 0.0000, 0.4688) (multiplicity 1)
W (0.5000, 0.5000, 0.7212) (multiplicity 1)

Output
- Crystal system: tetragonal


Entry 9:
InOs2W after structural relaxation. Source: Alexandria via LeMat-Bulk, functional PBE.

Unit cell a=3.0526 b=4.4204 c=4.8194 alpha=90.00 beta=90.00 gamma=90.00
Space group Pmmm (No. 47)
Unique sites:
In (0.0000, 0.0000, 0.0000) (multiplicity 1)
Os (0.0000, 0.5000, 0.5000) (multiplicity 1)
Os (0.5000, 0.5000, 0.0000) (multiplicity 1)
W (0.5000, 0.0000, 0.5000) (multiplicity 1)

Output
- Crystal system: orthorhombic


Entry 10:
InOsW2 after structural relaxation. Source: Alexandria via LeMat-Bulk, functional PBE.

Unit cell a=3.1472 b=4.6509 c=9.1495 alpha=90.00 beta=90.00 gamma=90.00
Space group Imm2 (No. 44)
Unique sites:
In (0.0000, 0.0000, 0.0000) (multiplicity 2)
Os (0.0000, 0.5000, 0.7594) (multiplicity 2)
W (0.0000, 0.0000, 0.5002) (multiplicity 2)
W (0.0000, 0.5000, 0.2312) (multiplicity 2)

Output
- Crystal system: orthorhombic


Entry 11:
InOsW2 after structural relaxation. Source: Alexandria via LeMat-Bulk, functional PBE.

Unit cell a=3.1568 b=4.6921 c=9.1323 alpha=90.00 beta=90.00 gamma=90.00
Space group Cmm2 (No. 35)
Unique sites:
In (0.0000, 0.0000, 0.0000) (multiplicity 2)
Os (0.0000, 0.5000, 0.7406) (multiplicity 2)
W (0.0000, 0.0000, 0.5095) (multiplicity 2)
W (0.0000, 0.5000, 0.2691) (multiplicity 2)

Output
- Crystal system: orthorhombic


Entry 12:
InOs2W after structural relaxation. Source: Alexandria via LeMat-Bulk, functional PBE.

Unit cell a=9.6092 b=2.8487 c=4.8527 alpha=90.00 beta=101.26 gamma=90.00
Space group Cm (No. 8)
Unique sites:
In (0.0000, 0.0000, 0.0000) (multiplicity 2)
Os (0.2553, 0.5000, 0.2013) (multiplicity 2)
Os (0.4713, 0.0000, 0.4957) (multiplicity 2)
W (0.2281, 0.0000, 0.6779) (multiplicity 2)

Output
- Crystal system: monoclinic


Entry 13:
InOs2W after structural relaxation. Source: Alexandria via LeMat-Bulk, functional PBE.

Unit cell a=9.2180 b=2.8813 c=5.0514 alpha=90.00 beta=101.39 gamma=90.00
Space group C2/m (No. 12)
Unique sites:
In (0.0000, 0.0000, 0.0000) (multiplicity 2)
Os (0.2375, 0.0000, 0.7168) (multiplicity 4)
W (0.0000, 0.5000, 0.5000) (multiplicity 2)

Output
- Crystal system: monoclinic


Entry 14:
InOsW2 after structural relaxation. Source: Alexandria via LeMat-Bulk, functional PBE.

Unit cell a=2.8673 b=2.8673 c=8.1621 alpha=90.00 beta=90.00 gamma=90.00
Space group P4/mmm (No. 123)
Unique sites:
In (0.0000, 0.0000, 0.0000) (multiplicity 1)
Os (0.0000, 0.0000, 0.5000) (multiplicity 1)
W (0.5000, 0.5000, 0.2758) (multiplicity 2)

Output
- Crystal system: tetragonal


Entry 15:
InOsW2 after structural relaxation. Source: Alexandria via LeMat-Bulk, functional PBE.

Unit cell a=2.8682 b=2.8682 c=28.2141 alpha=90.00 beta=90.00 gamma=120.00
Space group R-3m (No. 166, hexagonal axes)
Unique sites:
In (0.0000, 0.0000, 0.0000) (multiplicity 3)
Os (0.0000, 0.0000, 0.5000) (multiplicity 3)
W (0.0000, 0.0000, 0.2445) (multiplicity 6)

Output
- Crystal system: trigonal


Entry 16:
InOsW2 after structural relaxation. Source: Alexandria via LeMat-Bulk, functional PBE.

Unit cell a=2.8594 b=4.0877 c=5.8270 alpha=90.00 beta=90.00 gamma=90.00
Space group Pmm2 (No. 25)
Unique sites:
In (0.0000, 0.0000, 0.0000) (multiplicity 1)
Os (0.5000, 0.5000, 0.2835) (multiplicity 1)
W (0.0000, 0.0000, 0.4907) (multiplicity 1)
W (0.5000, 0.5000, 0.7192) (multiplicity 1)

Output
- Crystal system: orthorhombic


Entry 17:
InOsW2 after structural relaxation. Source: Alexandria via LeMat-Bulk, functional PBE.

Unit cell a=2.8674 b=2.8674 c=28.3959 alpha=90.00 beta=90.00 gamma=120.00
Space group R3m (No. 160, hexagonal axes)
Unique sites:
In (0.0000, 0.0000, 0.0000) (multiplicity 3)
Os (0.0000, 0.0000, 0.2469) (multiplicity 3)
W (0.0000, 0.0000, 0.5061) (multiplicity 3)
W (0.0000, 0.0000, 0.7548) (multiplicity 3)

Output
- Crystal system: trigonal


Entry 18:
InOsW2 after structural relaxation. Source: Alexandria via LeMat-Bulk, functional PBE.

Unit cell a=6.4268 b=6.4268 c=6.4268 alpha=90.00 beta=90.00 gamma=90.00
Space group F-43m (No. 216)
Unique sites:
In (0.0000, 0.0000, 0.0000) (multiplicity 4)
Os (0.2500, 0.2500, 0.7500) (multiplicity 4)
W (0.0000, 0.0000, 0.5000) (multiplicity 4)
W (0.2500, 0.2500, 0.2500) (multiplicity 4)

Output
- Crystal system: cubic


Entry 19:
InOs2W after structural relaxation. Source: Alexandria via LeMat-Bulk, functional PBE.

Unit cell a=3.0212 b=4.7974 c=9.0986 alpha=90.00 beta=90.00 gamma=90.00
Space group Cmmm (No. 65)
Unique sites:
In (0.0000, 0.0000, 0.0000) (multiplicity 2)
Os (0.0000, 0.5000, 0.2632) (multiplicity 4)
W (0.0000, 0.0000, 0.5000) (multiplicity 2)

Output
- Crystal system: orthorhombic


Entry 20:
InOsW2 after structural relaxation. Source: Alexandria via LeMat-Bulk, functional PBE.

Unit cell a=3.2104 b=4.4420 c=9.2555 alpha=90.00 beta=90.00 gamma=90.00
Space group Immm (No. 71)
Unique sites:
In (0.0000, 0.0000, 0.0000) (multiplicity 2)
Os (0.0000, 0.0000, 0.5000) (multiplicity 2)
W (0.0000, 0.5000, 0.2428) (multiplicity 4)

Output
- Crystal system: orthorhombic


| no. | raw total energy (eV for the cell shown) |
| --- | --- |
| 1 | -137.60 |
| 2 | -72.14 |
| 3 | -36.63 |
| 4 | -72.51 |
| 5 | -98.65 |
| 6 | -37.60 |
| 7 | -109.35 |
| 8 | -38.51 |
| 9 | -35.32 |
| 10 | -75.66 |
| 11 | -76.11 |
| 12 | -72.97 |
| 13 | -72.92 |
| 14 | -38.69 |
| 15 | -114.76 |
| 16 | -38.04 |
| 17 | -114.61 |
| 18 | -151.74 |
| 19 | -71.94 |
| 20 | -76.67 |